No. 1
Material: TlZnAgPtSe
Method: DFT, PBE-GGA
State: optimized geometry

Cell lengths 8.9853, 4.3771, 5.6209 Å; angles 90.00, 101.22, 90.00 degrees
Space group Cm (No. 8)
One atom of each set of equivalent atoms:
Tl 0.0000 0.0000 0.0000
Zn 0.2304 0.5000 0.2946
Ag 0.2321 0.0000 0.6551
Pt 0.3237 0.0000 0.1646
Se 0.0289 0.5000 0.5435

---

No. 2
Material: TlZnAgPtSe
Method: DFT, PBE-GGA
State: optimized geometry

Cell lengths 5.6047, 3.5227, 6.2489 Å; angles 90.00, 114.54, 90.00 degrees
Space group Pm (No. 6)
One atom of each set of equivalent atoms:
Tl 0.0000 0.0000 0.0000
Zn 0.0975 0.5000 0.5099
Ag 0.4715 0.5000 0.9348
Pt 0.4514 0.0000 0.5730
Se 0.6268 0.5000 0.3896

---

No. 3
Material: TlZnAgPtSe
Method: DFT, PBE-GGA
State: optimized geometry

Cell lengths 13.1071, 3.9954, 4.5597 Å; angles 90.00, 107.51, 90.00 degrees
Space group Cm (No. 8)
One atom of each set of equivalent atoms:
Tl 0.0000 0.0000 0.0000
Zn 0.2773 0.0000 0.0534
Ag 0.0115 0.5000 0.5056
Pt 0.3540 0.5000 0.3891
Se 0.2243 0.5000 0.7029

---

No. 4
Material: TlZnAgPtSe
Method: DFT, PBE-GGA
State: optimized geometry

Cell lengths 7.6864, 4.4136, 7.3655 Å; angles 90.00, 110.25, 90.00 degrees
Space group Cm (No. 8)
One atom of each set of equivalent atoms:
Tl 0.0000 0.0000 0.0000
Zn 0.2885 0.5000 0.3597
Ag 0.0208 0.5000 0.5618
Pt 0.1322 0.0000 0.3933
Se 0.2574 0.0000 0.7659

---

No. 5
Material: TlZnAgPtSe
Method: DFT, PBE-GGA
State: optimized geometry

Cell lengths 3.9629, 4.6532, 6.4387 Å; angles 68.90, 88.97, 89.26 degrees
Space group P1 (No. 1)
One atom of each set of equivalent atoms:
Tl 0.0000 0.0000 0.0000
Zn 0.5248 0.4951 0.3474
Ag 0.5064 0.5668 0.9116
Pt 0.0173 0.5471 0.6007
Se 0.0276 0.1110 0.4542

---

No. 6
Material: TlZnAgPtSe
Method: DFT, PBE-GGA
State: optimized geometry

Cell lengths 2.9774, 4.0034, 9.0184 Å; angles 101.42, 90.46, 90.01 degrees
Space group P1 (No. 1)
One atom of each set of equivalent atoms:
Tl 0.0000 0.0000 0.0000
Zn 0.5066 0.7197 0.4958
Ag 0.0038 0.1606 0.3567
Pt 0.5003 0.5913 0.2009
Se 0.5134 0.2963 0.6739

---

No. 7
Material: TlZnAgPtSe
Method: DFT, PBE-GGA
State: optimized geometry

Cell lengths 4.1719, 3.8188, 7.9631 Å; angles 90.00, 104.92, 90.00 degrees
Space group Pm (No. 6)
One atom of each set of equivalent atoms:
Tl 0.0000 0.0000 0.0000
Zn 0.3412 0.5000 0.6902
Ag 0.6445 0.0000 0.2932
Pt 0.5047 0.5000 0.0098
Se 0.2470 0.0000 0.5011

---

No. 8
Material: Si3AgPt
Method: DFT, PBE-GGA
State: optimized geometry

Cell lengths 4.7433, 4.7433, 4.7433 Å; angles 90.00, 90.00, 90.00 degrees
Space group Pm-3m (No. 221)
One atom of each set of equivalent atoms:
Si 0.0000 0.0000 0.5000
Ag 0.5000 0.5000 0.5000
Pt 0.0000 0.0000 0.0000

---

What are the energy above the most stable polymorph in this dataset values for these records? In order: 0.0380; 0.0620; 0.0641; 0.0000; 0.1077; 0.0954; 0.0734; 0.0000 eV per atom.
What are the electronic total energy values for these records? In order: -3.3311; -3.3072; -3.3050; -3.3691; -3.2614; -3.2737; -3.2957; -4.4132 eV/atom.